(1)
The following is a PBE calculation of an optimized crystal structure of YMg3Fe, from the Alexandria database.

Geometry as extended XYZ:
```
5
Lattice="4.8312 0.0000 0.0000 0.0000 4.8312 0.0000 0.0000 0.0000 4.8312" Properties=species:S:1:pos:R:3 pbc="T T T"
Y 0.0000 0.0000 0.0000
Mg 0.0000 2.4156 2.4156
Mg 2.4156 0.0000 2.4156
Mg 2.4156 2.4156 0.0000
Fe 2.4156 2.4156 2.4156
```

Results
As for the energy above the most stable polymorph in this dataset: 0.000 eV per atom. Its magnetization is 0.00 Bohr magnetons per cell. The formation energy comes out at 328.5 meV per atom. Its symmetry is No. 221. The total energy comes out at -3.61 eV/atom.


(2)
The following is a PBE calculation of an optimized crystal structure of Ce3PaSb4, from the Alexandria database.

Geometry as extended XYZ:
```
16
Lattice="7.7460 0.0000 0.0000 0.0000 8.9325 0.0000 -2.5801 0.0000 7.2725" Properties=species:S:1:pos:R:3 pbc="T T T"
Ce -0.6450 1.1116 1.8181
Ce -1.9351 3.3529 5.4544
Ce -0.6450 5.5795 1.8181
Ce -1.9351 7.8209 5.4544
Ce 3.2280 3.3574 1.8181
Ce 1.9379 5.5750 5.4544
Pa 1.9379 1.1190 5.4544
Pa 3.2280 7.8134 1.8181
Sb 0.6594 3.3126 3.6622
Sb 1.9495 5.6199 0.0260
Sb -0.5902 1.0900 7.2710
Sb 0.6998 7.8425 3.6347
Sb 4.4661 1.0900 3.6378
Sb 5.7561 7.8425 0.0015
Sb 3.2164 3.3126 7.2465
Sb 4.5065 5.6199 3.6103
```

Results
Its magnetization is 3.19 Bohr magnetons per cell. Its symmetry is No. 13. The total energy comes out at -6.36 eV/atom. The value obtained for the formation energy without anion corrections is -85 kJ per mole of atoms.


(3)
The following is a PBE calculation of an optimized crystal structure of NdScGe2Rh5, from the Alexandria database.

Geometry as extended XYZ:
```
9
Lattice="4.6214 0.0000 0.0000 0.0000 4.6214 0.0000 0.0000 0.0000 7.4661" Properties=species:S:1:pos:R:3 pbc="T T T"
Nd 0.0000 0.0000 0.0000
Sc 0.0000 0.0000 3.7330
Ge 2.3107 2.3107 2.4909
Ge 2.3107 2.3107 4.9751
Rh 0.0000 2.3107 2.0172
Rh 0.0000 2.3107 5.4489
Rh 2.3107 0.0000 2.0172
Rh 2.3107 0.0000 5.4489
Rh 2.3107 2.3107 0.0000
```

Results
Its magnetization is 0.00 Bohr magnetons per cell. The formation energy comes out at -538.8 meV per atom. Its symmetry is No. 123. The total energy comes out at -6.88 eV/atom.


(4)
The following is a PBE calculation of an optimized crystal structure of PmCd2Ni, from the Alexandria database.

Geometry as extended XYZ:
```
4
Lattice="1.5967 0.9219 10.3743 -1.5967 0.9219 10.3743 0.0000 -1.8437 10.3743" Properties=species:S:1:pos:R:3 pbc="T T T"
Pm 0.0000 0.0000 0.0000
Cd 0.0000 0.0000 3.2259
Cd 0.0000 0.0000 27.8969
Ni 0.0000 0.0000 15.5614
```

Results
As for the energy above the most stable polymorph in this dataset: 0.628 eV per atom. Its magnetization is 0.00 Bohr magnetons per cell. The formation energy comes out at 311.5 meV per atom. Its symmetry is No. 166. The total energy comes out at -2.78 eV/atom.


(5)
The following is a PBE calculation of an optimized crystal structure of LaScCo2, from the Alexandria database.

Geometry as extended XYZ:
```
4
Lattice="3.2923 0.0000 0.0000 0.0000 3.2995 0.0000 -0.0241 0.0000 6.6984" Properties=species:S:1:pos:R:3 pbc="T T T"
La 0.0000 0.0000 0.0000
Sc -0.0121 0.0000 3.3492
Co 1.6338 1.6497 1.9070
Co 1.6343 1.6497 4.7914
```

Results
As for the energy above the most stable polymorph in this dataset: 0.038 eV per atom. Its magnetization is 0.69 Bohr magnetons per cell. The formation energy comes out at -88.1 meV per atom. Its symmetry is No. 10. The total energy comes out at -6.46 eV/atom.


(6)
The following is a PBE calculation of an optimized crystal structure of PmHo2Pd, from the Alexandria database.

Geometry as extended XYZ:
```
8
Lattice="3.7630 0.0000 0.0000 0.0000 9.2747 0.0000 -1.8754 0.0000 6.2815" Properties=species:S:1:pos:R:3 pbc="T T T"
Pm -0.0017 2.3187 0.7472
Pm 1.8893 6.9560 5.5344
Ho 0.0068 0.5520 4.5622
Ho 0.0068 4.0854 4.5622
Ho 1.8808 5.1893 1.7193
Ho 1.8808 8.7227 1.7193
Pd 0.0006 6.9560 2.9847
Pd 1.8871 2.3187 3.2968
```

Results
As for the energy above the most stable polymorph in this dataset: 0.015 eV per atom. Its magnetization is 0.00 Bohr magnetons per cell. The formation energy comes out at -447.9 meV per atom. Its symmetry is No. 11. The total energy comes out at -5.22 eV/atom.


(7)
The following is a PBE calculation of an optimized crystal structure of FeSi2Se2, from the Alexandria database.

Geometry as extended XYZ:
```
10
Lattice="6.5975 0.0000 0.0000 0.0000 6.5975 0.0000 0.0000 0.0000 4.0926" Properties=species:S:1:pos:R:3 pbc="T T T"
Fe 0.0000 0.0000 0.0000
Fe 3.2987 3.2987 0.0000
Si 0.9339 2.3648 2.0463
Si 2.3648 5.6635 2.0463
Si 4.2327 0.9339 2.0463
Si 5.6635 4.2327 2.0463
Se 1.2180 4.5167 0.0000
Se 2.0807 1.2180 0.0000
Se 4.5167 5.3795 0.0000
Se 5.3795 2.0807 0.0000
```

Results
As for the energy above the most stable polymorph in this dataset: 0.212 eV per atom. Its magnetization is 0.00 Bohr magnetons per cell. Its symmetry is No. 127. The total energy comes out at -4.68 eV/atom. The value obtained for the formation energy without anion corrections is 56 kJ per mole of atoms.


(8)
The following is a PBE calculation of an optimized crystal structure of Rb2AuF4, from the Alexandria database.

Geometry as extended XYZ:
```
7
Lattice="-2.3276 2.3276 6.7984 2.3276 -2.3276 6.7984 2.3276 2.3276 -6.7984" Properties=species:S:1:pos:R:3 pbc="T T T"
Rb 0.0000 0.0000 1.8792
Rb 0.0000 0.0000 11.7175
Au 0.0000 0.0000 6.7984
F 2.3276 0.0000 0.0000
F 0.0000 0.0000 4.6304
F 0.0000 2.3276 0.0000
F 0.0000 0.0000 8.9663
```

Results
As for the energy above the most stable polymorph in this dataset: 0.051 eV per atom. Its magnetization is 0.86 Bohr magnetons per cell. Its symmetry is No. 139. The total energy comes out at -3.75 eV/atom. The value obtained for the formation energy without anion corrections is -187 kJ per mole of atoms.


(9)
The following is a PBE calculation of an optimized crystal structure of Sr3DyPt8, from the Alexandria database.

Geometry as extended XYZ:
```
12
Lattice="2.7733 1.6011 9.0205 -2.7733 1.6011 9.0205 0.0000 -3.2023 9.0205" Properties=species:S:1:pos:R:3 pbc="T T T"
Sr 0.0000 0.0000 0.0000
Sr 0.0000 0.0000 3.3643
Sr 0.0000 0.0000 13.4639
Dy 0.0000 0.0000 16.8584
Pt -1.4036 -0.8104 10.6108
Pt 0.0000 -1.6177 6.2303
Pt -1.4010 0.8088 6.2303
Pt 0.0000 0.0000 8.4144
Pt 1.4036 -0.8104 10.6108
Pt 0.0000 1.6208 10.6108
Pt 1.4010 0.8088 6.2304
Pt 0.0000 0.0000 21.9544
```

Results
Its magnetization is 0.00 Bohr magnetons per cell. The formation energy comes out at -915.9 meV per atom. Its symmetry is No. 160. The total energy comes out at -5.75 eV/atom.


(10)
The following is a PBE calculation of an optimized crystal structure of Mn4WSe, from the Alexandria database.

Geometry as extended XYZ:
```
6
Lattice="0.0000 3.3948 3.3948 3.3948 0.0000 3.3948 3.3948 3.3948 0.0000" Properties=species:S:1:pos:R:3 pbc="T T T"
Mn 2.5525 2.5525 2.5525
Mn 4.2372 4.2372 2.5525
Mn 4.2372 2.5525 4.2372
Mn 2.5525 4.2372 4.2372
W 5.0923 5.0923 5.0923
Se 0.0000 0.0000 0.0000
```

Results
Its magnetization is 5.31 Bohr magnetons per cell. Its symmetry is No. 216. The total energy comes out at -8.43 eV/atom. The value obtained for the formation energy without anion corrections is 40 kJ per mole of atoms.


Question: Number 5 is which compound?
Answer: LaScCo2


Question: Number 1 is which compound?
Answer: YMg3Fe


Question: What is the magnetization in the sixth record?
Answer: 0.00 Bohr magnetons per cell


Copy entry 6 word for word.
The following is a PBE calculation of an optimized crystal structure of PmHo2Pd, from the Alexandria database.

Geometry as extended XYZ:
```
8
Lattice="3.7630 0.0000 0.0000 0.0000 9.2747 0.0000 -1.8754 0.0000 6.2815" Properties=species:S:1:pos:R:3 pbc="T T T"
Pm -0.0017 2.3187 0.7472
Pm 1.8893 6.9560 5.5344
Ho 0.0068 0.5520 4.5622
Ho 0.0068 4.0854 4.5622
Ho 1.8808 5.1893 1.7193
Ho 1.8808 8.7227 1.7193
Pd 0.0006 6.9560 2.9847
Pd 1.8871 2.3187 3.2968
```

Results
As for the energy above the most stable polymorph in this dataset: 0.015 eV per atom. Its magnetization is 0.00 Bohr magnetons per cell. The formation energy comes out at -447.9 meV per atom. Its symmetry is No. 11. The total energy comes out at -5.22 eV/atom.